No. 1
## Rb2TlPS4 (PBE-GGA)

Data for crystalline Rb2TlPS4 at its relaxed geometry.

Computed properties:
E_form (uncorrected) ... -0.411 eV per atom
Total DFT energy (no corrections) ... -3.69 eV per atom

abc: 6.2301 14.3064 23.5526
angles: 90.00 90.00 90.00
Closest atoms and distances in Å follow each position.
Space group Fddd (No. 70, origin choice 2)
Symmetry-distinct sites (fractional):
Rb (0.1250, 0.1250, 0.3055) [16 per cell]  8 S 3.61-3.92
Tl (0.1250, 0.1250, 0.1250) [8 per cell]  4 S 2.57
P (0.1250, 0.1250, 0.6250) [8 per cell]  4 S 2.38
S (0.1011, 0.2743, 0.8211) [32 per cell]  1 P 2.38, 1 Tl 2.57

=====

No. 2
## RbTlPS3 (PBE-GGA)

Data for crystalline RbTlPS3 at its relaxed geometry.

Computed properties:
E_form (uncorrected) ... -0.576 eV per atom
Total DFT energy (no corrections) ... -4.10 eV per atom

abc: 11.9379 7.8902 9.1018
angles: 90.00 120.57 90.00
Closest atoms and distances in Å follow each position.
Space group C2/m (No. 12)
Symmetry-distinct sites (fractional):
Rb (0.1853, 0.0000, 0.1920) [4 per cell]  6 S 3.47-3.69
Tl (0.0000, 0.2021, 0.5000) [4 per cell]  2 S 2.98, 1 Tl 3.19
P (0.0169, 0.5000, 0.1372) [4 per cell]  3 S 2.03-2.05
S (0.0761, 0.2861, 0.8578) [8 per cell]  1 P 2.03
S (0.2101, 0.5000, 0.3206) [4 per cell]  1 P 2.05

=====

No. 3
## RbTl2PS4 (PBE-GGA)

Data for crystalline RbTl2PS4 at its relaxed geometry.

Computed properties:
E_form (uncorrected) ... -0.415 eV per atom
Total DFT energy (no corrections) ... -3.87 eV per atom

abc: 8.0029 8.3443 8.4801
angles: 70.11 72.37 68.95
Closest atoms and distances in Å follow each position.
Space group P1 (No. 1)
Symmetry-distinct sites (fractional):
Rb (0.0000, 0.0000, 0.0000) [1 per cell]  6 S 3.27-3.49
Rb (0.0423, 0.9277, 0.5244) [1 per cell]  6 S 3.33-3.62
Tl (0.4644, 0.3168, 0.0406) [1 per cell]  4 S 2.52-2.70
Tl (0.4872, 0.3186, 0.5409) [1 per cell]  4 S 2.60-2.64
Tl (0.5156, 0.8570, 0.0678) [1 per cell]  4 S 3.00-3.28
Tl (0.9095, 0.4886, 0.1218) [1 per cell]  2 S 2.85-3.06
P (0.5633, 0.7297, 0.6493) [1 per cell]  3 S 2.08-2.18
P (0.9901, 0.4523, 0.4850) [1 per cell]  3 S 2.05-2.24
S (0.1338, 0.6213, 0.3104) [1 per cell]  1 P 2.05
S (0.1798, 0.2402, 0.6197) [1 per cell]  1 P 2.12
S (0.2086, 0.1733, 0.1473) [1 per cell]  1 Tl 2.52
S (0.3850, 0.6627, 0.8871) [1 per cell]  1 P 2.12
S (0.5002, 0.6478, 0.4741) [1 per cell]  1 P 2.08
S (0.6607, 0.1500, 0.7911) [1 per cell]  2 Tl 2.60-2.70
S (0.6759, 0.2310, 0.2548) [1 per cell]  2 Tl 2.61-2.63
S (0.8308, 0.5690, 0.7063) [1 per cell]  2 P 2.18-2.24

=====

No. 4
## RbTlPS2 (PBE-GGA)

Data for crystalline RbTlPS2 at its relaxed geometry.

Computed properties:
E_form (uncorrected) ... 0.316 eV per atom
Total DFT energy (no corrections) ... -3.08 eV per atom
Energy relative to the lowest polymorph listed for this composition ... 0 kJ/mol of formula units

abc: 5.3793 5.3793 5.2763
angles: 90.00 90.00 90.00
Closest atoms and distances in Å follow each position.
Space group P4/mmm (No. 123)
Symmetry-distinct sites (fractional):
Rb (0.0000, 0.0000, 0.0000) [1 per cell]  8 S 3.77, 4 P 3.80
Tl (0.5000, 0.5000, 0.5000) [1 per cell]  2 P 2.64, 4 S 2.69
P (0.5000, 0.5000, 0.0000) [1 per cell]  2 Tl 2.64
S (0.0000, 0.5000, 0.5000) [2 per cell]  2 Tl 2.69

=====

No. 5
## Rb2U2PS2 (PBE-GGA)

Data for crystalline Rb2U2PS2 at its relaxed geometry.

Computed properties:
E_form (uncorrected) ... -0.618 eV per atom
Total DFT energy (no corrections) ... -6.07 eV per atom

abc: 5.1951 5.1951 16.7686
angles: 90.00 90.00 90.00
Closest atoms and distances in Å follow each position.
Space group I4/mmm (No. 139)
Symmetry-distinct sites (fractional):
Rb (0.0000, 0.0000, 0.1969) [4 per cell]  1 P 3.30, 1 S 3.44
U (0.0000, 0.5000, 0.0000) [4 per cell]  2 P 2.60
P (0.0000, 0.0000, 0.0000) [2 per cell]  4 U 2.60
S (0.0000, 0.0000, 0.4021) [4 per cell]  4 U 3.07, 1 S 3.28, 1 Rb 3.44

=====

No. 6
## RbUP2S8 (PBE-GGA)

Data for crystalline RbUP2S8 at its relaxed geometry.

Computed properties:
E_form (uncorrected) ... -0.612 eV per atom
Total DFT energy (no corrections) ... -5.29 eV per atom

abc: 6.1848 6.1848 29.9869
angles: 90.00 90.00 120.00
Closest atoms and distances in Å follow each position.
Space group R-3 (No. 148, hexagonal axes)
Symmetry-distinct sites (fractional):
Rb (0.0000, 0.0000, 0.0000) [3 per cell]  12 S 3.65-4.04
U (0.0000, 0.0000, 0.5000) [3 per cell]  6 S 2.64
P (0.0000, 0.0000, 0.2418) [6 per cell]  4 S 1.97-2.10
S (0.0000, 0.0000, 0.3073) [6 per cell]  1 P 1.97
S (0.0105, 0.6566, 0.4490) [18 per cell]  1 P 2.10

=====

No. 7
## Rb2UPS6 (PBE-GGA)

Data for crystalline Rb2UPS6 at its relaxed geometry.

Computed properties:
E_form (uncorrected) ... -0.754 eV per atom
Total DFT energy (no corrections) ... -5.09 eV per atom

abc: 9.9547 9.9547 9.9547
angles: 90.00 90.00 90.00
Closest atoms and distances in Å follow each position.
Space group Fm-3m (No. 225)
Symmetry-distinct sites (fractional):
Rb (0.2500, 0.2500, 0.2500) [8 per cell]  12 S 3.52
U (0.0000, 0.0000, 0.0000) [4 per cell]  6 S 2.55
P (0.0000, 0.0000, 0.5000) [4 per cell]  6 S 2.43
S (0.0000, 0.0000, 0.2561) [24 per cell]  1 P 2.43, 1 U 2.55

=====

No. 8
## RbVP2S8 (PBE-GGA)

Data for crystalline RbVP2S8 at its relaxed geometry.

Computed properties:
E_form (uncorrected) ... -0.434 eV per atom
Total DFT energy (no corrections) ... -4.93 eV per atom

abc: 5.9202 5.9202 29.4393
angles: 90.00 90.00 120.00
Closest atoms and distances in Å follow each position.
Space group R-3 (No. 148, hexagonal axes)
Symmetry-distinct sites (fractional):
Rb (0.0000, 0.0000, 0.0000) [3 per cell]  6 S 3.55
V (0.0000, 0.0000, 0.5000) [3 per cell]  6 S 2.35
P (0.0000, 0.0000, 0.2332) [6 per cell]  4 S 1.98-2.10
S (0.0000, 0.0000, 0.3005) [6 per cell]  1 P 1.98
S (0.0022, 0.3385, 0.2112) [18 per cell]  1 P 2.10